Material: Co2Ni5Ge4
Method: DFT, PBE-GGA
State: relaxed

Cell lengths 2.686, 7.056, 16.425 Å; angles 90.00, 90.00, 90.00 degrees
Space group Immm (No. 71)
Symmetry-distinct sites (fractional):
Co 0.000 0.000 0.116 (multiplicity 4)
Ni 0.000 0.321 0.151 (multiplicity 8)
Ni 0.000 0.500 0.500 (multiplicity 2)
Ge 0.000 0.000 0.255 (multiplicity 4)
Ge 0.000 0.295 0.000 (multiplicity 4)

- magnetization (μB per cell) = 6.5
- formation enthalpy at 0 K (kJ/mol of formula units) = 217
- total DFT energy (no corrections) (eV per atom) = -5.39
- ρ (g cm⁻³) = 7.49